1.
This record from Alexandria describes Tl2Te5Pb after structural relaxation. The functional is PBE.

Structure (POSCAR):
```
Tl2Te5Pb
1.0
6.005 0.000 0.000
-3.003 4.699 0.000
0.000 0.000 22.147
Tl Te Pb
4 10 2
Direct
0.680 0.360 0.042
0.320 0.640 0.542
0.680 0.360 0.458
0.320 0.640 0.958
0.577 0.154 0.634
0.423 0.846 0.134
0.988 0.977 0.250
0.022 0.044 0.885
0.423 0.846 0.366
0.978 0.956 0.385
0.577 0.154 0.866
0.978 0.956 0.115
0.022 0.044 0.615
0.012 0.023 0.750
0.384 0.768 0.750
0.616 0.232 0.250
```

## Properties
- Calculated total energy: -3.1253 eV/atom
- Formation energy (no corrections): -0.11 eV per atom


2.
This record from Alexandria describes Li4CaGa after structural relaxation. The functional is PBE.

Structure (POSCAR):
```
Li4CaGa
1.0
8.059 0.008 -0.002
-0.004 4.426 1.644
-4.026 0.071 6.963
Ca Li Ga
2 8 2
Direct
0.209 0.250 0.000
0.791 0.750 0.000
0.909 0.934 0.637
0.703 0.112 0.254
0.297 0.888 0.746
0.091 0.066 0.363
0.450 0.387 0.747
0.273 0.566 0.364
0.727 0.434 0.636
0.550 0.613 0.253
0.000 0.500 0.500
0.500 0.000 0.500
```

## Properties
- Relative energy among the computed polymorphs: 0.0 meV/atom
- Calculated total energy: -2.2542 eV/atom
- Formation enthalpy at 0 K: -140.2 meV/atom


3.
This record from Alexandria describes KCd2AgPb after structural relaxation. The functional is PBE.

Structure (POSCAR):
```
KCd2AgPb
1.0
5.440 0.000 0.000
0.000 5.440 0.000
0.000 0.000 5.558
Cd Ag K Pb
2 1 1 1
Direct
0.000 0.500 0.000
0.500 0.000 0.000
0.000 0.000 0.000
0.500 0.500 0.500
0.000 0.000 0.500
```

## Properties
- Calculated total energy: -1.8090 eV/atom
- Formation enthalpy at 0 K: 88.4 meV/atom


4.
This record from Alexandria describes NaTi3Sb after structural relaxation. The functional is PBE.

Structure (POSCAR):
```
NaTi3Sb
1.0
-1.639 -2.784 -3.993
3.352 -3.700 1.204
-3.529 -2.222 2.997
Sb Na Ti
1 1 3
Direct
0.000 0.000 0.000
0.500 0.500 0.500
0.500 0.000 0.000
0.000 0.500 0.000
0.000 0.000 0.500
```

## Properties
- Relative energy among the computed polymorphs: 0.0 meV/atom
- Calculated total energy: -4.9637 eV/atom
- Formation energy (no corrections): 0.86 eV per atom


5.
This record from Alexandria describes Na2HgSeO after structural relaxation. The functional is PBE.

Structure (POSCAR):
```
Na2HgSeO
1.0
5.458 0.000 0.000
0.000 5.311 0.000
0.000 0.000 5.458
O Na Hg Se
1 2 1 1
Direct
0.500 0.500 0.500
0.000 0.000 0.500
0.500 0.000 0.000
0.000 0.500 0.000
0.000 0.000 0.000
```

## Properties
- Calculated total energy: -2.4537 eV/atom
- Formation energy (no corrections): -0.18 eV per atom


6.
This record from Alexandria describes LiNbTlIn2 after structural relaxation. The functional is PBE.

Structure (POSCAR):
```
LiNbTlIn2
1.0
5.430 0.000 0.000
0.000 5.479 0.000
0.000 0.000 5.430
In Li Tl Nb
2 1 1 1
Direct
0.000 0.000 0.500
0.500 0.000 0.000
0.500 0.500 0.500
0.000 0.500 0.000
0.000 0.000 0.000
```

## Properties
- Calculated total energy: -3.5194 eV/atom
- Formation enthalpy at 0 K: 446.0 meV/atom


7.
This record from Alexandria describes Pr11Er4Tm9 after structural relaxation. The functional is PBE.

Structure (POSCAR):
```
Pr11Er4Tm9
1.0
-0.417 -2.599 -2.542
5.753 -10.452 9.743
-15.300 1.465 1.010
Tm Er Pr
9 4 11
Direct
0.500 0.786 0.931
0.500 0.370 0.834
0.500 0.500 0.500
0.500 0.931 0.786
0.500 0.166 0.630
0.500 0.069 0.214
0.500 0.834 0.370
0.500 0.630 0.166
0.500 0.214 0.069
0.500 0.759 0.556
0.500 0.241 0.444
0.500 0.556 0.759
0.500 0.444 0.241
0.000 0.042 0.405
0.000 0.369 0.631
0.000 0.293 0.293
0.000 0.000 0.000
0.000 0.958 0.595
0.000 0.595 0.958
0.000 0.160 0.840
0.000 0.631 0.369
0.000 0.707 0.707
0.000 0.405 0.042
0.000 0.840 0.160
```

## Properties
- Calculated total energy: -4.5707 eV/atom
- Formation enthalpy at 0 K: 57.2 meV/atom


8.
This record from Alexandria describes CeSc5Tl3 after structural relaxation. The functional is PBE.

Structure (POSCAR):
```
CeSc5Tl3
1.0
-4.374 -2.465 3.853
-1.305 -6.675 -5.753
6.112 -0.794 6.431
Tl Sc Ce
6 10 2
Direct
0.250 0.000 0.346
0.750 0.346 0.346
0.250 0.346 0.000
0.250 0.654 0.654
0.750 0.000 0.654
0.750 0.654 0.000
0.250 0.673 0.000
0.750 0.673 0.673
0.500 0.333 0.667
0.000 0.333 0.667
0.500 0.667 0.333
0.750 0.000 0.327
0.000 0.667 0.333
0.250 0.327 0.327
0.250 0.000 0.673
0.750 0.327 0.000
0.000 0.000 0.000
0.500 0.000 0.000
```

## Properties
- Calculated total energy: -5.2133 eV/atom
- Formation enthalpy at 0 K: -247.7 meV/atom


9.
This record from Alexandria describes MgNbReSn after structural relaxation. The functional is PBE.

Structure (POSCAR):
```
MgNbReSn
1.0
6.543 0.000 0.000
0.000 6.543 0.000
0.000 0.000 6.543
Sn Re Nb Mg
4 4 4 4
Direct
0.500 0.000 0.500
0.000 0.000 0.000
0.500 0.500 0.000
0.000 0.500 0.500
0.250 0.750 0.250
0.750 0.750 0.750
0.250 0.250 0.750
0.750 0.250 0.250
0.500 0.500 0.500
0.000 0.500 0.000
0.000 0.000 0.500
0.500 0.000 0.000
0.750 0.250 0.750
0.250 0.250 0.250
0.250 0.750 0.750
0.750 0.750 0.250
```

## Properties
- Relative energy among the computed polymorphs: 33.0 meV/atom
- Calculated total energy: -7.0000 eV/atom
- Formation enthalpy at 0 K: 28.8 meV/atom


10.
This record from Alexandria describes Cu2MoAu after structural relaxation. The functional is PBE.

Structure (POSCAR):
```
Cu2MoAu
1.0
-3.348 -1.419 -5.888
-3.230 -5.273 3.108
-5.261 -1.710 -0.663
Mo Au Cu
2 2 4
Direct
0.250 0.750 0.500
0.500 0.500 0.000
0.750 0.250 0.500
0.000 0.000 0.000
0.875 0.871 0.750
0.375 0.379 0.750
0.621 0.125 0.250
0.129 0.625 0.250
```

## Properties
- Relative energy among the computed polymorphs: 612.0 meV/atom
- Calculated total energy: -4.8260 eV/atom
- Formation enthalpy at 0 K: 749.2 meV/atom


11.
This record from Alexandria describes LiIrRhC after structural relaxation. The functional is PBE.

Structure (POSCAR):
```
LiIrRhC
1.0
-1.860 -3.326 0.872
1.498 -2.437 2.665
-1.746 -0.411 3.474
Ir C Li Rh
1 1 1 1
Direct
0.250 0.250 0.250
0.000 0.000 0.000
0.500 0.500 0.500
0.750 0.750 0.750
```

## Properties
- Calculated total energy: -6.1585 eV/atom
- Formation enthalpy at 0 K: 679.1 meV/atom


12.
This record from Alexandria describes Ba2CaRu after structural relaxation. The functional is PBE.

Structure (POSCAR):
```
Ba2CaRu
1.0
-0.745 -3.792 -4.137
3.130 -3.431 -3.237
-0.081 -7.715 3.442
Ba Ca Ru
2 1 1
Direct
0.907 0.907 0.086
0.753 0.753 0.663
0.563 0.563 0.376
0.278 0.278 0.375
```

## Properties
- Relative energy among the computed polymorphs: 0.0 meV/atom
- Calculated total energy: -3.5130 eV/atom
- Formation enthalpy at 0 K: 267.7 meV/atom


13.
This record from Alexandria describes TeRuN2Cl after structural relaxation. The functional is PBE.

Structure (POSCAR):
```
TeRuN2Cl
1.0
3.860 0.000 0.000
0.000 3.860 0.000
0.000 0.000 5.719
Te Ru N Cl
1 1 2 1
Direct
0.000 0.000 0.500
0.000 0.000 0.000
0.500 0.000 0.000
0.000 0.500 0.000
0.500 0.500 0.500
```

## Properties
- Relative energy among the computed polymorphs: 0.0 meV/atom
- Calculated total energy: -5.4223 eV/atom
- Formation energy (no corrections): 0.76 eV per atom


14.
This record from Alexandria describes RePb2Br after structural relaxation. The functional is PBE.

Structure (POSCAR):
```
RePb2Br
1.0
5.079 0.000 0.000
0.000 3.208 0.191
0.000 2.887 6.088
Pb Re Br
2 1 1
Direct
0.500 0.124 0.375
0.000 0.125 0.875
0.000 0.625 0.375
0.500 0.626 0.875
```

## Properties
- Relative energy among the computed polymorphs: 132.8 meV/atom
- Calculated total energy: -4.6946 eV/atom
- Formation energy (no corrections): 0.69 eV per atom


15.
This record from Alexandria describes KTl3Au after structural relaxation. The functional is PBE.

Structure (POSCAR):
```
KTl3Au
1.0
-2.890 1.662 -3.026
-5.642 -6.173 1.998
-1.198 6.928 4.951
K Au Tl
2 2 6
Direct
0.500 0.711 0.289
0.500 0.289 0.711
0.500 0.305 0.305
0.500 0.695 0.695
0.000 0.500 0.500
0.000 0.936 0.676
0.500 0.000 0.000
0.000 0.676 0.936
0.000 0.324 0.064
0.000 0.064 0.324
```

## Properties
- Relative energy among the computed polymorphs: 0.0 meV/atom
- Calculated total energy: -2.4149 eV/atom
- Formation enthalpy at 0 K: -120.1 meV/atom


16.
This record from Alexandria describes NpAs3 after structural relaxation. The functional is PBE.

Structure (POSCAR):
```
NpAs3
1.0
-3.031 -2.636 0.086
1.529 -1.863 -3.215
3.376 -0.674 4.507
As Np
3 1
Direct
0.500 0.500 0.000
0.250 0.750 0.500
0.750 0.250 0.500
0.000 0.000 0.000
```

## Properties
- Calculated total energy: -7.0569 eV/atom
- Formation enthalpy at 0 K: -334.6 meV/atom


17.
This record from Alexandria describes MnTe2Ru after structural relaxation. The functional is PBE.

Structure (POSCAR):
```
MnTe2Ru
1.0
3.458 0.000 0.000
0.000 3.458 0.000
0.000 0.000 7.604
Ru Te Mn
1 2 1
Direct
0.500 0.500 0.720
0.500 0.500 0.360
0.000 0.000 0.894
0.000 0.000 0.526
```

## Properties
- Relative energy among the computed polymorphs: 122.6 meV/atom
- Calculated total energy: -6.1641 eV/atom
- Formation energy (no corrections): 0.02 eV per atom


18.
This record from Alexandria describes LaPmSmPb after structural relaxation. The functional is PBE.

Structure (POSCAR):
```
LaPmSmPb
1.0
4.902 0.000 0.000
0.000 4.910 0.000
-2.451 -2.455 5.215
Sm La Pb Pm
1 1 1 1
Direct
0.195 0.695 0.391
0.446 0.446 0.891
0.696 0.196 0.391
0.946 0.946 0.891
```

## Properties
- Relative energy among the computed polymorphs: 0.0 meV/atom
- Calculated total energy: -4.8329 eV/atom
- Formation enthalpy at 0 K: -306.5 meV/atom


19.
This record from Alexandria describes MgAg4Sn2 after structural relaxation. The functional is PBE.

Structure (POSCAR):
```
MgAg4Sn2
1.0
6.960 0.289 -2.166
-3.696 5.903 -2.167
-0.155 -0.292 7.287
Ag Sn Mg
8 4 2
Direct
0.884 0.308 0.258
0.050 0.626 0.742
0.691 0.950 0.576
0.558 0.634 0.758
0.374 0.116 0.424
0.876 0.801 0.242
0.366 0.124 0.925
0.200 0.442 0.076
0.125 0.242 0.618
0.758 0.375 0.883
0.625 0.508 0.383
0.492 0.875 0.117
0.000 0.000 0.000
0.250 0.750 0.500
```

## Properties
- Calculated total energy: -2.9847 eV/atom
- Formation enthalpy at 0 K: 16.0 meV/atom


20.
This record from Alexandria describes TbPm5Er4 after structural relaxation. The functional is PBE.

Structure (POSCAR):
```
TbPm5Er4
1.0
3.573 0.000 0.000
0.000 10.343 1.426
-1.787 -0.244 9.061
Pm Er Tb
5 4 1
Direct
0.189 0.404 0.378
0.858 0.230 0.715
0.142 0.770 0.285
0.500 0.500 0.000
0.811 0.596 0.622
0.046 0.237 0.092
0.954 0.763 0.908
0.683 0.087 0.365
0.317 0.913 0.635
0.500 0.000 0.000
```

## Properties
- Relative energy among the computed polymorphs: 113.6 meV/atom
- Calculated total energy: -4.5139 eV/atom
- Formation enthalpy at 0 K: 149.6 meV/atom